1.
Here is a geometry-optimized La4BeTl structure from the Alexandria database. Energies are from PBE-GGA.

## Properties
formation enthalpy at 0 K = 3.12 eV per formula unit

The structure in CIF format:
```
data_La4BeTl
_chemical_formula_sum 'La16 Be4 Tl4'
_symmetry_space_group_name_H-M 'F -4 3 m'
_symmetry_Int_Tables_number 216
_symmetry_space_group_name_Hall 'F -4 2 3'
_cell_length_a 9.1449
_cell_length_b 9.1449
_cell_length_c 9.1449
_cell_angle_alpha 90.00
_cell_angle_beta 90.00
_cell_angle_gamma 90.00
loop_
_atom_site_label
_atom_site_type_symbol
_atom_site_fract_x
_atom_site_fract_y
_atom_site_fract_z
La1 La 0.1248 0.1248 0.1248
Be1 Be 0.0000 0.0000 0.5000
Tl1 Tl 0.2500 0.2500 0.7500
```

2.
Here is a geometry-optimized KMg2Cr structure from the Alexandria database. Energies are from PBE-GGA.

## Properties
energy above the most stable polymorph in this dataset = 0.47 eV per formula unit
formation enthalpy at 0 K = 2.30 eV per formula unit

The structure in CIF format:
```
data_KMg2Cr
_chemical_formula_sum 'K3 Mg6 Cr3'
_symmetry_space_group_name_H-M 'R -3 m'
_symmetry_Int_Tables_number 166
_symmetry_space_group_name_Hall '-R 3 2"'
_cell_length_a 3.3652
_cell_length_b 3.3652
_cell_length_c 33.3589
_cell_angle_alpha 90.00
_cell_angle_beta 90.00
_cell_angle_gamma 120.00
loop_
_atom_site_label
_atom_site_type_symbol
_atom_site_fract_x
_atom_site_fract_y
_atom_site_fract_z
K1 K 0.0000 0.0000 0.0000
Mg1 Mg 0.0000 0.0000 0.2332
Cr1 Cr 0.0000 0.0000 0.5000
```

3.
Here is a geometry-optimized Ac8CuOs2 structure from the Alexandria database. Energies are from PBE-GGA.

## Properties
formation enthalpy at 0 K = 0.55 eV per formula unit

The structure in CIF format:
```
data_Ac8CuOs2
_chemical_formula_sum 'Ac16 Cu2 Os4'
_symmetry_space_group_name_H-M 'C 1 2/m 1'
_symmetry_Int_Tables_number 12
_symmetry_space_group_name_Hall '-C 2y'
_cell_length_a 14.0298
_cell_length_b 7.5033
_cell_length_c 8.1221
_cell_angle_alpha 90.00
_cell_angle_beta 91.07
_cell_angle_gamma 90.00
loop_
_atom_site_label
_atom_site_type_symbol
_atom_site_fract_x
_atom_site_fract_y
_atom_site_fract_z
Ac1 Ac 0.0378 0.2447 0.2827
Ac2 Ac 0.2077 0.5000 0.6027
Ac3 Ac 0.2085 0.0000 0.8787
Cu1 Cu 0.0000 0.0000 0.0000
Os1 Os 0.1117 0.0000 0.5599
```

4.
Here is a geometry-optimized CeBrF structure from the Alexandria database. Energies are from PBE-GGA.

## Properties
uncorrected formation energy = -2.47 eV/atom

The structure in CIF format:
```
data_CeBrF
_chemical_formula_sum 'Ce4 Br4 F4'
_symmetry_space_group_name_H-M 'C 1 2/m 1'
_symmetry_Int_Tables_number 12
_symmetry_space_group_name_Hall '-C 2y'
_cell_length_a 11.4220
_cell_length_b 3.9280
_cell_length_c 7.0572
_cell_angle_alpha 90.00
_cell_angle_beta 118.61
_cell_angle_gamma 90.00
loop_
_atom_site_label
_atom_site_type_symbol
_atom_site_fract_x
_atom_site_fract_y
_atom_site_fract_z
Ce1 Ce 0.1818 0.0000 0.2064
Br1 Br 0.0539 0.5000 0.8116
F1 F 0.2074 0.0000 0.5796
```

5.
Here is a geometry-optimized Rb2Li2Ca structure from the Alexandria database. Energies are from PBE-GGA.

## Properties
energy above the most stable polymorph in this dataset = 0.00 eV per formula unit
formation enthalpy at 0 K = 1.18 eV per formula unit

The structure in CIF format:
```
data_Rb2Li2Ca
_chemical_formula_sum 'Rb4 Li4 Ca2'
_symmetry_space_group_name_H-M 'P 4/m b m'
_symmetry_Int_Tables_number 127
_symmetry_space_group_name_Hall '-P 4 2ab'
_cell_length_a 9.1038
_cell_length_b 9.1038
_cell_length_c 6.0842
_cell_angle_alpha 90.00
_cell_angle_beta 90.00
_cell_angle_gamma 90.00
loop_
_atom_site_label
_atom_site_type_symbol
_atom_site_fract_x
_atom_site_fract_y
_atom_site_fract_z
Rb1 Rb 0.1775 0.3225 0.0000
Li1 Li 0.1204 0.6204 0.5000
Ca1 Ca 0.0000 0.0000 0.5000
```

6.
Here is a geometry-optimized Tb3SmPd12 structure from the Alexandria database. Energies are from PBE-GGA.

## Properties
formation enthalpy at 0 K = -13.62 eV per formula unit

The structure in CIF format:
```
data_Tb3SmPd12
_chemical_formula_sum 'Tb3 Sm1 Pd12'
_symmetry_space_group_name_H-M 'P 4/m m m'
_symmetry_Int_Tables_number 123
_symmetry_space_group_name_Hall '-P 4 2'
_cell_length_a 4.1334
_cell_length_b 4.1334
_cell_length_c 16.6534
_cell_angle_alpha 90.00
_cell_angle_beta 90.00
_cell_angle_gamma 90.00
loop_
_atom_site_label
_atom_site_type_symbol
_atom_site_fract_x
_atom_site_fract_y
_atom_site_fract_z
Tb1 Tb 0.0000 0.0000 0.0000
Tb2 Tb 0.0000 0.0000 0.2485
Sm1 Sm 0.0000 0.0000 0.5000
Pd1 Pd 0.0000 0.5000 0.1244
Pd2 Pd 0.0000 0.5000 0.3729
Pd3 Pd 0.5000 0.5000 0.0000
Pd4 Pd 0.5000 0.5000 0.2488
Pd5 Pd 0.5000 0.5000 0.5000
```

7.
Here is a geometry-optimized K2PBr structure from the Alexandria database. Energies are from PBE-GGA.

## Properties
energy above the most stable polymorph in this dataset = 1.56 eV per formula unit
uncorrected formation energy = -0.21 eV/atom

The structure in CIF format:
```
data_K2PBr
_chemical_formula_sum 'K8 P4 Br4'
_symmetry_space_group_name_H-M 'F -4 3 m'
_symmetry_Int_Tables_number 216
_symmetry_space_group_name_Hall 'F -4 2 3'
_cell_length_a 8.0353
_cell_length_b 8.0353
_cell_length_c 8.0353
_cell_angle_alpha 90.00
_cell_angle_beta 90.00
_cell_angle_gamma 90.00
loop_
_atom_site_label
_atom_site_type_symbol
_atom_site_fract_x
_atom_site_fract_y
_atom_site_fract_z
K1 K 0.0000 0.0000 0.0000
K2 K 0.2500 0.2500 0.2500
P1 P 0.2500 0.2500 0.7500
Br1 Br 0.0000 0.0000 0.5000
```

8.
Here is a geometry-optimized Y6Ho12Mg structure from the Alexandria database. Energies are from PBE-GGA.

## Properties
energy above the most stable polymorph in this dataset = 0.32 eV per formula unit
formation enthalpy at 0 K = 2.92 eV per formula unit

The structure in CIF format:
```
data_Y6Ho12Mg
_chemical_formula_sum 'Y18 Ho36 Mg3'
_symmetry_space_group_name_H-M 'R -3'
_symmetry_Int_Tables_number 148
_symmetry_space_group_name_Hall '-R 3'
_cell_length_a 12.2132
_cell_length_b 12.2132
_cell_length_c 14.0840
_cell_angle_alpha 90.00
_cell_angle_beta 90.00
_cell_angle_gamma 120.00
loop_
_atom_site_label
_atom_site_type_symbol
_atom_site_fract_x
_atom_site_fract_y
_atom_site_fract_z
Y1 Y 0.0280 0.4361 0.2091
Ho1 Ho 0.0446 0.1821 0.3101
Ho2 Ho 0.0674 0.8705 0.9061
Mg1 Mg 0.0000 0.0000 0.5000
```

| no. | final energy (Ha/atom) |
| --- | --- |
| 1 | -0.1389 |
| 2 | -0.1066 |
| 3 | -0.1967 |
| 4 | -0.2068 |
| 5 | -0.0484 |
| 6 | -0.2172 |
| 7 | -0.0928 |
| 8 | -0.1787 |